Record 1
The following is a PBE-GGA calculation of a relaxed structure of AcHf2BeN4, from Alexandria via LeMat-Bulk.

Cell: 3.301 5.773 10.867 Å, 90.00 90.00 106.61°
Sites, in units of the cell vectors:
Be 0.823 0.646 0.750
Be 0.177 0.354 0.250
Hf 0.368 0.735 0.949
Hf 0.632 0.265 0.051
Hf 0.368 0.735 0.551
Hf 0.632 0.265 0.449
N 0.000 0.000 0.000
N 0.407 0.814 0.750
N 0.740 0.481 0.884
N 0.260 0.519 0.116
N 0.740 0.481 0.616
N 0.260 0.519 0.384
N 0.000 0.000 0.500
N 0.593 0.186 0.250
Ac 0.099 0.197 0.750
Ac 0.901 0.803 0.250

space-group type: Cmcm
formation energy without anion corrections: -1.54 eV per atom

---

Record 2
The following is a PBE-GGA calculation of a relaxed structure of AcHfBeN3, from Alexandria via LeMat-Bulk.

Cell: 3.321 7.209 7.093 Å, 106.66 90.00 90.00°
Sites, in units of the cell vectors:
N 0.750 0.869 0.144
N 0.250 0.838 0.470
N 0.750 0.455 0.163
N 0.250 0.131 0.856
N 0.250 0.545 0.837
N 0.750 0.162 0.530
Ac 0.250 0.201 0.237
Ac 0.750 0.799 0.763
Hf 0.250 0.667 0.163
Hf 0.750 0.333 0.837
Be 0.750 0.924 0.395
Be 0.250 0.076 0.605

space-group type: P2_1/m
formation energy without anion corrections: -1.37 eV per atom

---

Record 3
The following is a PBE-GGA calculation of a relaxed structure of Ac2HfBeO6, from Alexandria via LeMat-Bulk.

Cell: 5.798 6.095 7.430 Å, 90.00 90.00 90.00°
Sites, in units of the cell vectors:
O 0.500 0.242 0.779
O 0.000 0.758 0.279
O 0.761 0.513 0.500
O 0.760 0.966 0.000
O 0.500 0.242 0.221
O 0.261 0.487 0.000
O 0.260 0.034 0.500
O 0.239 0.513 0.500
O 0.000 0.758 0.721
O 0.740 0.034 0.500
O 0.739 0.487 0.000
O 0.240 0.966 0.000
Ac 0.500 0.802 0.253
Ac 0.500 0.802 0.747
Ac 0.000 0.198 0.247
Ac 0.000 0.198 0.753
Be 0.500 0.336 0.000
Be 0.000 0.664 0.500
Hf 0.000 0.711 0.000
Hf 0.500 0.289 0.500

space-group type: Pmmn
formation energy without anion corrections: -3.18 eV per atom

---

Record 4
The following is a PBE-GGA calculation of a relaxed structure of Ac2BeHg, from Alexandria via LeMat-Bulk.

Cell: 3.882 3.882 7.910 Å, 90.00 90.00 90.00°
Sites, in units of the cell vectors:
Hg 0.500 0.500 0.500
Ac 0.000 0.000 0.224
Ac 0.000 0.000 0.776
Be 0.500 0.500 0.000

space-group type: P4/mmm
energy relative to the lowest polymorph listed for this composition: 0.000 eV/f.u.

---

Record 5
The following is a PBE-GGA calculation of a relaxed structure of Ac2BeHg, from Alexandria via LeMat-Bulk.

Cell: 3.844 3.844 11.688 Å, 80.53 80.53 60.00°
Sites, in units of the cell vectors:
Ac 0.091 0.091 0.726
Ac 0.909 0.909 0.274
Hg 0.500 0.500 0.500
Be 0.000 0.000 0.000

space-group type: R-3m
energy relative to the lowest polymorph listed for this composition: 2.798 eV/f.u.

---

Record 6
The following is a PBE-GGA calculation of a relaxed structure of Ac2Be2HgO6, from Alexandria via LeMat-Bulk.

Cell: 5.398 5.648 6.414 Å, 113.50 90.00 118.54°
Sites, in units of the cell vectors:
O 0.694 0.868 0.176
O 0.826 0.132 0.824
O 0.174 0.868 0.176
O 0.204 0.408 0.361
O 0.796 0.592 0.639
O 0.306 0.132 0.824
Hg 0.500 0.000 0.500
Be 0.031 0.062 0.232
Be 0.969 0.938 0.768
Ac 0.711 0.422 0.204
Ac 0.289 0.578 0.796

space-group type: C2/m
formation energy without anion corrections: -2.46 eV per atom

---

Record 7
The following is a PBE-GGA calculation of a relaxed structure of AcBe2Hg2O6, from Alexandria via LeMat-Bulk.

Cell: 5.689 5.689 6.297 Å, 90.00 90.00 120.00°
Sites, in units of the cell vectors:
Ac 0.000 0.000 0.000
O 0.070 0.389 0.767
O 0.930 0.611 0.233
O 0.319 0.930 0.767
O 0.611 0.681 0.767
O 0.681 0.070 0.233
O 0.389 0.319 0.233
Hg 0.333 0.667 0.290
Hg 0.667 0.333 0.710
Be 0.333 0.667 0.760
Be 0.667 0.333 0.240

space-group type: P-3
formation energy without anion corrections: -1.62 eV per atom

---

Record 8
The following is a PBE-GGA calculation of a relaxed structure of AcBeHg2O4, from Alexandria via LeMat-Bulk.

Cell: 6.104 5.364 5.364 Å, 71.36 55.32 55.32°
Sites, in units of the cell vectors:
O 0.505 0.499 0.812
O 0.817 0.501 0.188
O 0.495 0.188 0.501
O 0.183 0.812 0.499
Ac 0.500 0.000 0.000
Hg 0.000 0.247 0.753
Hg 0.000 0.753 0.247
Be 0.500 0.500 0.500

space-group type: I222
formation energy without anion corrections: -1.56 eV per atom

---

Record 9
The following is a PBE-GGA calculation of a relaxed structure of Ac2BeHgPd6, from Alexandria via LeMat-Bulk.

Cell: 6.033 7.663 7.666 Å, 46.29 66.95 90.08°
Sites, in units of the cell vectors:
Pd 0.204 0.266 0.062
Pd 0.733 0.793 0.533
Pd 0.796 0.734 0.938
Pd 0.733 0.266 0.061
Pd 0.267 0.734 0.939
Pd 0.267 0.207 0.467
Ac 0.744 0.257 0.513
Ac 0.256 0.743 0.487
Hg 0.000 0.000 0.000
Be 0.500 0.500 0.000

space-group type: C2/m
DFT total energy: -4.96 eV per atom

---

Record 10
The following is a PBE-GGA calculation of a relaxed structure of AcHoBe, from Alexandria via LeMat-Bulk.

Cell: 3.855 3.855 13.965 Å, 90.00 90.00 120.00°
Sites, in units of the cell vectors:
Ho 0.278 0.555 0.127
Ho 0.278 0.555 0.873
Be 0.611 0.222 0.000
Be 0.278 0.556 0.500
Ac 0.611 0.223 0.653
Ac 0.611 0.223 0.347

space-group type: P-6m2
DFT total energy: -3.73 eV per atom

---

Record 11
The following is a PBE-GGA calculation of a relaxed structure of AcHoBeN3, from Alexandria via LeMat-Bulk.

Cell: 3.441 7.393 7.187 Å, 102.81 90.00 90.00°
Sites, in units of the cell vectors:
Ac 0.250 0.185 0.226
Ac 0.750 0.815 0.774
Be 0.250 0.074 0.605
Be 0.750 0.926 0.395
N 0.750 0.148 0.522
N 0.250 0.119 0.847
N 0.750 0.881 0.153
N 0.250 0.852 0.478
N 0.250 0.573 0.838
N 0.750 0.427 0.162
Ho 0.250 0.656 0.174
Ho 0.750 0.344 0.826

space-group type: P2_1/m
formation energy without anion corrections: -1.04 eV per atom

---

Record 12
The following is a PBE-GGA calculation of a relaxed structure of Ac2HoBe2O6, from Alexandria via LeMat-Bulk.

Cell: 5.394 5.394 9.044 Å, 90.00 90.00 120.00°
Sites, in units of the cell vectors:
Be 0.667 0.333 0.150
Be 0.333 0.667 0.850
O 0.931 0.639 0.154
O 0.292 0.931 0.846
O 0.639 0.708 0.846
O 0.361 0.292 0.154
O 0.069 0.361 0.846
O 0.708 0.069 0.154
Ho 0.000 0.000 0.000
Ac 0.667 0.333 0.736
Ac 0.333 0.667 0.264

space-group type: P-3
formation energy without anion corrections: -2.88 eV per atom